1.
Entry from the Alexandria database: a relaxed structure of PaSi2NiIr (PBE).

Lattice parameters (Å, degrees): 3.995 3.995 5.731 110.40 110.40 90.00
Atoms (fractional coordinates):
1 Si 0.618 0.618 0.236
2 Ni 0.250 0.750 0.500
3 Si 0.382 0.382 0.764
4 Pa 0.000 0.000 0.000
5 Ir 0.750 0.250 0.500

Summary:
- Symmetry: No. 119
- Formation energy (no corrections): -0.8298 eV per atom

2.
Entry from the Alexandria database: a relaxed structure of Tb5PrDy4 (PBE).

Lattice parameters (Å, degrees): 6.294 7.887 7.887 80.84 66.48 66.48
Atoms (fractional coordinates):
1 Dy 0.404 0.399 0.700
2 Tb 0.716 0.086 0.381
3 Dy 0.803 0.700 0.601
4 Tb 0.678 0.000 0.000
5 Tb 0.183 0.914 0.619
6 Dy 0.104 0.300 0.399
7 Tb 0.802 0.381 0.914
8 Dy 0.503 0.601 0.300
9 Tb 0.096 0.619 0.086
10 Pr 0.221 0.000 0.000

Summary:
- Polymorph energy (0 for the lowest one): 114 meV per atom
- Symmetry: No. 79
- Formation energy: 28.7 kJ per mole of atoms

3.
Entry from the Alexandria database: a relaxed structure of TlIn2Sb (PBE).

Lattice parameters (Å, degrees): 5.134 3.393 6.728 79.19 90.00 90.00
Atoms (fractional coordinates):
1 Tl 0.500 0.750 0.750
2 In 0.000 0.430 0.493
3 In 0.000 0.070 0.007
4 Sb 0.500 0.250 0.250

Summary:
- Polymorph energy (0 for the lowest one): 14 meV per atom
- Symmetry: No. 10
- Formation energy (no corrections): 0.0341 eV per atom

4.
Entry from the Alexandria database: a relaxed structure of Tb2Dy6Y3Th (PBE).

Lattice parameters (Å, degrees): 6.161 6.161 11.801 95.00 95.00 119.95
Atoms (fractional coordinates):
1 Y 0.167 0.833 0.500
2 Dy 0.916 0.586 0.751
3 Dy 0.754 0.754 0.249
4 Dy 0.586 0.916 0.751
5 Dy 0.414 0.084 0.249
6 Dy 0.246 0.246 0.751
7 Tb 0.667 0.333 0.000
8 Th 0.000 0.000 0.000
9 Tb 0.333 0.667 0.000
10 Y 0.833 0.167 0.500
11 Y 0.500 0.500 0.500
12 Dy 0.084 0.414 0.249

Summary:
- Symmetry: No. 12
- Formation energy: 2.5 kJ per mole of atoms

5.
Entry from the Alexandria database: a relaxed structure of K2PmU3N8 (PBE).

Lattice parameters (Å, degrees): 7.045 7.045 7.797 63.14 63.14 60.00
Atoms (fractional coordinates):
1 N 0.212 0.212 0.891
2 U 0.493 0.990 0.024
3 N 0.212 0.685 0.891
4 K 0.492 0.492 0.523
5 N 0.277 0.277 0.170
6 N 0.706 0.706 0.881
7 U 0.493 0.493 0.024
8 N 0.317 0.752 0.179
9 N 0.752 0.317 0.179
10 U 0.990 0.493 0.024
11 K 0.141 0.141 0.577
12 N 0.752 0.752 0.179
13 N 0.685 0.212 0.891
14 Pm 0.970 0.970 0.089

Summary:
- Symmetry: No. 160
- Formation energy (no corrections): -0.9962 eV per atom

6.
Entry from the Alexandria database: a relaxed structure of Ac8Bi4Sb3P (PBE).

Lattice parameters (Å, degrees): 9.590 9.604 9.590 119.96 120.00 90.00
Atoms (fractional coordinates):
1 Sb 0.500 0.500 0.500
2 Ac 0.756 0.738 0.997
3 Ac 0.748 0.745 0.497
4 Ac 0.242 0.739 0.483
5 Ac 0.759 0.262 0.003
6 Ac 0.758 0.261 0.517
7 Bi 0.500 0.000 0.000
8 Sb 0.000 0.500 0.500
9 P 0.000 0.500 0.000
10 Ac 0.244 0.262 0.003
11 Bi 0.000 0.000 0.000
12 Bi 0.500 0.000 0.500
13 Ac 0.252 0.255 0.503
14 Ac 0.241 0.738 0.997
15 Sb 0.500 0.500 0.000
16 Bi 0.000 0.000 0.500

Summary:
- Symmetry: No. 166
- Formation energy (no corrections): -1.1184 eV per atom

7.
Entry from the Alexandria database: a relaxed structure of ZrTl2Os (PBE).

Lattice parameters (Å, degrees): 4.835 4.835 4.835 60.00 60.00 60.00
Atoms (fractional coordinates):
1 Os 0.500 0.500 0.500
2 Zr 0.000 0.000 0.000
3 Tl 0.250 0.250 0.250
4 Tl 0.750 0.750 0.750

Summary:
- Polymorph energy (0 for the lowest one): 321 meV per atom
- Symmetry: No. 225
- Formation energy: 46.4 kJ per mole of atoms

8.
Entry from the Alexandria database: a relaxed structure of La2CoBi (PBE).

Lattice parameters (Å, degrees): 3.894 3.894 10.172 78.97 78.97 60.00
Atoms (fractional coordinates):
1 La 0.887 0.887 0.340
2 La 0.113 0.113 0.660
3 Bi 0.000 0.000 0.000
4 Co 0.500 0.500 0.500

Summary:
- Symmetry: No. 166
- Formation energy: -9.9 kJ per mole of atoms

9.
Entry from the Alexandria database: a relaxed structure of PmNdSm14 (PBE).

Lattice parameters (Å, degrees): 7.295 7.295 11.752 90.00 90.00 119.97
Atoms (fractional coordinates):
1 Pm 0.708 0.292 0.500
2 Nd 0.208 0.792 0.500
3 Sm 0.375 0.125 0.751
4 Sm 0.375 0.125 0.249
5 Sm 0.875 0.125 0.750
6 Sm 0.875 0.625 0.751
7 Sm 0.542 0.958 0.000
8 Sm 0.375 0.625 0.751
9 Sm 0.042 0.458 0.000
10 Sm 0.208 0.292 0.500
11 Sm 0.875 0.125 0.250
12 Sm 0.708 0.792 0.500
13 Sm 0.375 0.625 0.249
14 Sm 0.542 0.458 0.000
15 Sm 0.042 0.958 0.000
16 Sm 0.875 0.625 0.249

Summary:
- Symmetry: No. 38
- Formation energy: 0.1 kJ per mole of atoms

10.
Entry from the Alexandria database: a relaxed structure of PrY3Ho2Tm6 (PBE).

Lattice parameters (Å, degrees): 6.120 6.120 11.700 95.00 95.00 119.94
Atoms (fractional coordinates):
1 Tm 0.750 0.750 0.250
2 Y 0.167 0.833 0.500
3 Y 0.500 0.500 0.500
4 Pr 0.000 0.000 0.000
5 Ho 0.667 0.333 0.000
6 Tm 0.250 0.250 0.750
7 Y 0.833 0.167 0.500
8 Tm 0.916 0.582 0.750
9 Tm 0.418 0.084 0.250
10 Tm 0.084 0.418 0.250
11 Tm 0.582 0.916 0.750
12 Ho 0.333 0.667 0.000

Summary:
- Symmetry: No. 12
- Formation energy: 2.6 kJ per mole of atoms

11.
Entry from the Alexandria database: a relaxed structure of Ca5Pd2Au (PBE).

Lattice parameters (Å, degrees): 7.743 7.743 9.057 115.31 115.31 90.00
Atoms (fractional coordinates):
1 Ca 0.191 0.029 0.720
2 Pd 0.627 0.127 0.000
3 Ca 0.809 0.971 0.280
4 Ca 0.500 0.500 0.000
5 Ca 0.529 0.691 0.720
6 Ca 0.000 0.000 0.000
7 Ca 0.309 0.809 0.280
8 Au 0.250 0.250 0.500
9 Au 0.750 0.750 0.500
10 Ca 0.029 0.529 0.720
11 Pd 0.873 0.627 0.000
12 Pd 0.127 0.373 0.000
13 Ca 0.971 0.471 0.280
14 Pd 0.373 0.873 0.000
15 Ca 0.471 0.309 0.280
16 Ca 0.691 0.191 0.720

Summary:
- Symmetry: No. 140
- Formation energy: -61.5 kJ per mole of atoms

12.
Entry from the Alexandria database: a relaxed structure of Li2Cu2Pd5Au (PBE).

Lattice parameters (Å, degrees): 4.083 8.815 8.815 90.00 90.00 90.00
Atoms (fractional coordinates):
1 Li 0.000 0.674 0.174
2 Cu 0.000 0.122 0.622
3 Pd 0.500 0.204 0.078
4 Pd 0.500 0.796 0.922
5 Pd 0.500 0.296 0.578
6 Cu 0.000 0.878 0.378
7 Li 0.000 0.326 0.826
8 Li 0.000 0.174 0.326
9 Au 0.000 0.500 0.500
10 Pd 0.500 0.578 0.704
11 Cu 0.000 0.622 0.878
12 Pd 0.500 0.922 0.204
13 Au 0.000 0.000 0.000
14 Pd 0.500 0.422 0.296
15 Pd 0.500 0.078 0.796
16 Pd 0.500 0.000 0.500
17 Pd 0.500 0.704 0.422
18 Pd 0.500 0.500 0.000
19 Li 0.000 0.826 0.674
20 Cu 0.000 0.378 0.122

Summary:
- Symmetry: No. 127
- Formation energy: -13.3 kJ per mole of atoms

Number 1: energy -7.8267 eV per atom. Number 2: energy -4.3367 eV per atom. Number 3: energy -2.9573 eV per atom. Number 4: energy -5.2816 eV per atom. Number 5: energy -8.6686 eV per atom. Number 6: energy -5.2539 eV per atom. Number 7: energy -5.6464 eV per atom. Number 8: energy -5.3129 eV per atom. Number 9: energy -4.7233 eV per atom. Number 10: energy -4.9864 eV per atom. Number 11: energy -3.5965 eV per atom. Number 12: energy -4.2638 eV per atom.